The following is a PBE+U calculation of a relaxed structure of NbCr3F, from Alexandria.

Magnetization: 10.81 μB/f.u.
Energy: -27.87 eV/cell
Volume: 24.9 Å³/atom

abc: 4.991 4.991 4.991
angles: 90.00 90.00 90.00
Space group Pm-3m (No. 221)
Asymmetric unit:
Nb: 0.000 0.000 0.000 (multiplicity 1)
Cr: 0.000 0.000 0.500 (multiplicity 3)
F: 0.500 0.500 0.500 (multiplicity 1)